No. 1
DFT (GGA-PBE) results for crystalline SrAuN at its relaxed geometry.

Output
Total DFT energy (no corrections), Ry/atom: -0.3499
Total moment, μB/f.u.: 0.00
Raw formation energy, eV per atom: -0.33

a b c (Å): 6.965 5.435 6.115
angles (deg): 90.00 90.00 90.00
Atoms (fractional coordinates):
Au (0.546, 0.750, 0.305)
N (0.177, 0.250, 0.562)
Sr (0.328, 0.250, 0.170)
Au (0.954, 0.250, 0.805)
N (0.823, 0.750, 0.438)
Sr (0.172, 0.750, 0.670)
Au (0.454, 0.250, 0.695)
N (0.677, 0.250, 0.938)
Sr (0.828, 0.250, 0.330)
Sr (0.672, 0.750, 0.830)
N (0.323, 0.750, 0.062)
Au (0.046, 0.750, 0.195)

No. 2
DFT (GGA-PBE) results for crystalline Sr12Au5N2 at its relaxed geometry.

Output
Total DFT energy (no corrections), Ry/atom: -0.2484
Total moment, μB/f.u.: 0.00
Raw formation energy, eV per atom: -0.58

a b c (Å): 8.038 9.524 9.896
angles (deg): 105.18 90.00 114.96
Atoms (fractional coordinates):
Au (0.310, 0.620, 0.160)
Sr (0.900, 0.298, 0.572)
Au (0.000, 0.000, 0.500)
Sr (0.415, 0.317, 0.082)
N (0.755, 0.000, 0.000)
Sr (0.500, 0.000, 0.816)
Sr (0.998, 0.995, 0.177)
Sr (0.098, 0.683, 0.918)
Au (0.693, 0.387, 0.351)
Sr (0.902, 0.317, 0.082)
Sr (0.002, 0.005, 0.823)
Au (0.307, 0.613, 0.649)
Sr (0.399, 0.298, 0.572)
Au (0.690, 0.380, 0.840)
Sr (0.100, 0.702, 0.428)
Sr (0.601, 0.702, 0.428)
Sr (0.500, 0.000, 0.184)
N (0.245, 0.000, 0.000)
Sr (0.585, 0.683, 0.918)